[1]
# OsSeN2

A relaxed OsSeN2 crystal (GGA-PBEsol, Alexandria).

a b c (Å): 2.9345 2.9345 6.4603
angles (deg): 76.87 76.87 60.00
Closest atoms and distances in Å follow each position.
Element x y z (fractional)
1 N 0.8972 0.8972 0.3083  1 Os 1.92, 3 Se 2.07
2 N 0.1028 0.1028 0.6917  1 Os 1.92, 3 Se 2.07
3 Os 0.0000 0.0000 0.0000  2 N 1.92
4 Se 0.5000 0.5000 0.5000  6 N 2.07

total energy = -7.237 eV per atom
magnetic moment = 0.0 Bohr magnetons per cell
energy relative to the elements, uncorrected = 1042.9 meV/atom
space group = R-3m, No. 166

[2]
# CaCoCl

A relaxed CaCoCl crystal (GGA-PBEsol, Alexandria).

a b c (Å): 4.3751 4.3751 4.3751
angles (deg): 60.00 60.00 60.00
Closest atoms and distances in Å follow each position.
Element x y z (fractional)
1 Co 0.0000 0.0000 0.0000  4 Cl 2.68
2 Ca 0.5000 0.5000 0.5000  4 Cl 2.68
3 Cl 0.2500 0.2500 0.2500  4 Co 2.68, 4 Ca 2.68

total energy = -3.835 eV per atom
magnetic moment = 0.9 Bohr magnetons per cell
energy relative to the elements, uncorrected = 124.2 meV/atom
space group = F-43m, No. 216

[3]
# CdCuRh

A relaxed CdCuRh crystal (GGA-PBEsol, Alexandria).

a b c (Å): 4.2091 4.2091 4.2091
angles (deg): 60.00 60.00 60.00
Closest atoms and distances in Å follow each position.
Element x y z (fractional)
1 Cd 0.7500 0.7500 0.7500  4 Rh 2.58, 4 Cu 2.58
2 Rh 0.5000 0.5000 0.5000  4 Cd 2.58
3 Cu 0.0000 0.0000 0.0000  4 Cd 2.58

total energy = -3.950 eV per atom
ΔE_f = 606 meV/atom
magnetic moment = 0.0 Bohr magnetons per cell
space group = F-43m, No. 216

[4]
# KI2Cl2

A relaxed KI2Cl2 crystal (GGA-PBEsol, Alexandria).

a b c (Å): 5.8791 5.8791 6.8503
angles (deg): 115.41 115.41 90.00
Closest atoms and distances in Å follow each position.
Element x y z (fractional)
1 K 0.0000 0.0000 0.0000  8 Cl 4.01, 10 I 4.11-4.37
2 Cl 0.7500 0.2500 0.5000  4 I 3.25
3 Cl 0.2500 0.7500 0.5000  4 I 3.25
4 I 0.3772 0.3772 0.7543  1 I 2.68
5 I 0.6228 0.6228 0.2457  1 I 2.68

total energy = -2.126 eV per atom
magnetic moment = 0.0 Bohr magnetons per cell
energy relative to the elements, uncorrected = -389.0 meV/atom
space group = I4/mmm, No. 139

[5]
# RbBaBi

A relaxed RbBaBi crystal (GGA-PBEsol, Alexandria).

a b c (Å): 5.8128 9.1916 10.3590
angles (deg): 90.00 90.00 90.00
Closest atoms and distances in Å follow each position.
Element x y z (fractional)
1 Rb 0.7500 0.4880 0.1837  5 Bi 3.80-4.16, 3 Ba 4.09-4.25
2 Rb 0.2500 0.5120 0.8163  5 Bi 3.80-4.16, 3 Ba 4.09-4.25
3 Rb 0.7500 0.9880 0.3163  5 Bi 3.80-4.16, 3 Ba 4.09-4.25
4 Rb 0.2500 0.0120 0.6837  5 Bi 3.80-4.16, 3 Ba 4.09-4.25
5 Bi 0.2500 0.2789 0.4033  4 Ba 3.48-3.52, 1 Rb 3.80
6 Bi 0.2500 0.7789 0.0967  4 Ba 3.48-3.52, 1 Rb 3.80
7 Bi 0.7500 0.7211 0.5967  4 Ba 3.48-3.52, 1 Rb 3.80
8 Bi 0.7500 0.2211 0.9033  4 Ba 3.48-3.52, 1 Rb 3.80
9 Ba 0.2500 0.6614 0.4157  4 Bi 3.48-3.52
10 Ba 0.7500 0.3386 0.5843  4 Bi 3.48-3.52
11 Ba 0.7500 0.8386 0.9157  4 Bi 3.48-3.52
12 Ba 0.2500 0.1614 0.0843  4 Bi 3.48-3.52

total energy = -3.182 eV per atom
ΔE_f = -695 meV/atom
magnetic moment = 0.0 Bohr magnetons per cell
space group = Pnma, No. 62

[6]
# LaScTl

A relaxed LaScTl crystal (GGA-PBEsol, Alexandria).

a b c (Å): 3.8423 5.0364 5.0364
angles (deg): 120.00 90.00 90.00
Closest atoms and distances in Å follow each position.
Element x y z (fractional)
1 Sc 0.5000 0.3333 0.6667  3 Tl 2.91
2 Tl 0.5000 0.6667 0.3333  3 Sc 2.91
3 La 0.0000 0.0000 0.0000  6 Tl 3.49, 6 Sc 3.49, 2 La 3.84

total energy = -5.099 eV per atom
ΔE_f = -238 meV/atom
magnetic moment = 0.0 Bohr magnetons per cell
space group = P-6m2, No. 187

What is the formula in the first record?
OsSeN2